(1)
A geometry-optimized Pa2Ni9Ir structure. Source: Alexandria via LeMat-Bulk, functional PBE-GGA. Values from VASP.

Structure (Quantum ESPRESSO input):
```
&SYSTEM
  ibrav = 0, nat = 12, ntyp = 3
/
ATOMIC_SPECIES
Pa 231.04 Pa.upf
Ni 58.69 Ni.upf
Ir 192.22 Ir.upf
CELL_PARAMETERS angstrom
-3.9353 -2.2893 1.8560
0.0451 -1.5834 4.6544
-4.2004 5.6328 4.5537
ATOMIC_POSITIONS angstrom
Pa -4.9730 -1.2910 7.3992
Pa -3.1177 3.0510 3.6649
Ni -2.5937 -2.5815 4.3404
Ni -5.4970 4.3415 6.7237
Ni -4.0453 0.8800 5.5321
Ni -2.6633 -0.2021 3.8392
Ni -4.6506 -1.3582 4.7765
Ni -2.6405 -1.0017 6.1896
Ni -5.4274 1.9622 7.2249
Ni -5.4501 2.7618 4.8745
Ni -3.4401 3.1182 6.2876
Ir 0.0000 0.0000 0.0000
```

Summary:
Volume   13.7 Å³/atom

(2)
A geometry-optimized Pa2Ni9Ir structure. Source: Alexandria via LeMat-Bulk, functional PBE-GGA. Values from VASP.

Structure (Quantum ESPRESSO input):
```
&SYSTEM
  ibrav = 0, nat = 12, ntyp = 3
/
ATOMIC_SPECIES
Pa 231.04 Pa.upf
Ni 58.69 Ni.upf
Ir 192.22 Ir.upf
CELL_PARAMETERS angstrom
4.3133 -0.6180 0.0000
-0.6180 4.3133 0.0000
0.0000 0.0000 9.0731
ATOMIC_POSITIONS angstrom
Pa 0.0000 0.0000 2.8240
Pa 0.0000 0.0000 6.2490
Ni 1.8477 1.8477 0.0000
Ni 1.8477 1.8477 3.0384
Ni 1.8477 1.8477 6.0347
Ni 2.1567 -0.3090 1.3361
Ni 2.1567 -0.3090 4.5365
Ni 2.1567 -0.3090 7.7370
Ni -0.3090 2.1567 1.3361
Ni -0.3090 2.1567 4.5365
Ni -0.3090 2.1567 7.7370
Ir 0.0000 0.0000 0.0000
```

Summary:
Volume   13.8 Å³/atom

Energy above the most stable structure, in eV/atom: (1) 0.000; (2) 0.011

(1)
A geometry-optimized PaNi4Ir structure. Source: Alexandria via LeMat-Bulk, functional PBE-GGA. Values from VASP.

Structure (Quantum ESPRESSO input):
```
&SYSTEM
  ibrav = 0, nat = 6, ntyp = 3
/
ATOMIC_SPECIES
Pa 231.04 Pa.upf
Ni 58.69 Ni.upf
Ir 192.22 Ir.upf
CELL_PARAMETERS angstrom
-4.8986 2.2339 2.1294
-5.0698 -1.2132 -2.5191
-3.8185 -3.4273 2.6821
ATOMIC_POSITIONS angstrom
Pa -10.3402 -1.8050 1.7193
Ni -6.2517 -0.9615 2.3688
Ni -8.2562 -1.4412 1.3728
Ni -6.3194 -2.3244 0.5309
Ni -6.7465 -0.0861 0.3123
Ir 0.0000 0.0000 0.0000
```

Summary:
Volume   22.9 Å³/atom

(2)
A geometry-optimized PaNi4Ir structure. Source: Alexandria via LeMat-Bulk, functional PBE-GGA. Values from VASP.

Structure (Quantum ESPRESSO input):
```
&SYSTEM
  ibrav = 0, nat = 6, ntyp = 3
/
ATOMIC_SPECIES
Ni 58.69 Ni.upf
Pa 231.04 Pa.upf
Ir 192.22 Ir.upf
CELL_PARAMETERS angstrom
-0.3994 -4.1324 -2.5662
3.6057 -3.2882 0.0923
-0.6349 -4.2538 2.3073
ATOMIC_POSITIONS angstrom
Ni 1.9314 -5.1625 -1.2703
Ni -0.2115 -5.6505 -0.1510
Ni 1.6106 -7.3120 -0.1044
Ni 1.8124 -5.2239 1.1924
Pa 0.6429 -2.9186 -0.0417
Ir 0.0000 0.0000 0.0000
```

Summary:
Volume   13.7 Å³/atom

Energy above the most stable structure, in eV/atom: (1) 1.783; (2) 0.000

(1)
A geometry-optimized YPaNiIr structure. Source: Alexandria via LeMat-Bulk, functional PBE-GGA. Values from VASP.

Structure (Quantum ESPRESSO input):
```
&SYSTEM
  ibrav = 0, nat = 4, ntyp = 4
/
ATOMIC_SPECIES
Y 88.91 Y.upf
Ni 58.69 Ni.upf
Pa 231.04 Pa.upf
Ir 192.22 Ir.upf
CELL_PARAMETERS angstrom
-3.7386 1.1904 -2.8418
-4.5371 -0.5844 1.5946
-2.7123 3.8714 1.0606
ATOMIC_POSITIONS angstrom
Y -5.4940 2.2387 -0.0933
Ni -8.2410 3.3581 -0.1399
Pa 0.0000 0.0000 0.0000
Ir -2.7470 1.1194 -0.0466
```

Summary:
Volume   20.1 Å³/atom

(2)
A geometry-optimized YPaNiIr structure. Source: Alexandria via LeMat-Bulk, functional PBE-GGA. Values from VASP.

Structure (Quantum ESPRESSO input):
```
&SYSTEM
  ibrav = 0, nat = 4, ntyp = 4
/
ATOMIC_SPECIES
Y 88.91 Y.upf
Pa 231.04 Pa.upf
Ni 58.69 Ni.upf
Ir 192.22 Ir.upf
CELL_PARAMETERS angstrom
3.7036 0.0000 0.0000
0.0000 4.0901 0.0000
-1.8518 0.0000 5.6174
ATOMIC_POSITIONS angstrom
Y 0.0000 0.0000 1.6238
Pa 1.8518 2.0451 4.2541
Ni 1.8518 2.0451 0.7989
Ir 0.0000 0.0000 4.5579
```

Summary:
Volume   21.3 Å³/atom

Energy above the most stable structure, in eV/atom: (1) 0.218; (2) 0.000

(1)
A geometry-optimized NiIrPb2 structure. Source: Alexandria via LeMat-Bulk, functional PBE-GGA. Values from VASP.

Structure (Quantum ESPRESSO input):
```
&SYSTEM
  ibrav = 0, nat = 4, ntyp = 3
/
ATOMIC_SPECIES
Ir 192.22 Ir.upf
Ni 58.69 Ni.upf
Pb 207.20 Pb.upf
CELL_PARAMETERS angstrom
10.2252 0.0072 0.0042
9.7293 3.1457 0.0042
9.7293 1.5373 2.7445
ATOMIC_POSITIONS angstrom
Ir 14.4140 2.2774 1.3368
Ni 22.6227 3.5744 2.0981
Pb 0.6785 0.1072 0.0629
Pb 6.8105 1.0761 0.6316
```

Summary:
Volume   22.0 Å³/atom

(2)
A geometry-optimized NiIrPb2 structure. Source: Alexandria via LeMat-Bulk, functional PBE-GGA. Values from VASP.

Structure (Quantum ESPRESSO input):
```
&SYSTEM
  ibrav = 0, nat = 4, ntyp = 3
/
ATOMIC_SPECIES
Ir 192.22 Ir.upf
Ni 58.69 Ni.upf
Pb 207.20 Pb.upf
CELL_PARAMETERS angstrom
-3.5132 -4.8819 -2.5240
-0.4120 -6.3162 1.5756
-0.3877 6.3360 1.5006
ATOMIC_POSITIONS angstrom
Ir -1.7019 -4.8552 -0.4112
Ni -1.3857 -2.8026 1.2999
Pb -0.1612 -0.4600 -0.0390
Pb -3.0267 -2.3434 -0.7718
```

Summary:
Volume   20.3 Å³/atom

Energy above the most stable structure, in eV/atom: (1) 0.104; (2) 0.000

(1)
A geometry-optimized NiIrPb2 structure. Source: Alexandria via LeMat-Bulk, functional PBE-GGA. Values from VASP.

Structure (Quantum ESPRESSO input):
```
&SYSTEM
  ibrav = 0, nat = 4, ntyp = 3
/
ATOMIC_SPECIES
Ir 192.22 Ir.upf
Ni 58.69 Ni.upf
Pb 207.20 Pb.upf
CELL_PARAMETERS angstrom
3.3355 0.0682 0.0000
-0.1649 3.3321 0.0000
0.0000 0.0000 6.9407
ATOMIC_POSITIONS angstrom
Ir 1.5853 1.7002 1.7352
Ni 1.5853 1.7002 5.2055
Pb 0.0000 0.0000 6.8984
Pb 0.0000 0.0000 3.5127
```

Summary:
Volume   19.3 Å³/atom

(2)
A geometry-optimized NiIrPb2 structure. Source: Alexandria via LeMat-Bulk, functional PBE-GGA. Values from VASP.

Structure (Quantum ESPRESSO input):
```
&SYSTEM
  ibrav = 0, nat = 4, ntyp = 3
/
ATOMIC_SPECIES
Pb 207.20 Pb.upf
Ni 58.69 Ni.upf
Ir 192.22 Ir.upf
CELL_PARAMETERS angstrom
0.0000 3.3765 3.3765
3.3765 0.0000 3.3765
3.3765 3.3765 0.0000
ATOMIC_POSITIONS angstrom
Pb 1.6882 1.6882 1.6882
Pb 5.0647 5.0647 5.0647
Ni 0.0000 0.0000 0.0000
Ir 3.3765 3.3765 3.3765
```

Summary:
Volume   19.2 Å³/atom

(3)
A geometry-optimized NiIrPb2 structure. Source: Alexandria via LeMat-Bulk, functional PBE-GGA. Values from VASP.

Structure (Quantum ESPRESSO input):
```
&SYSTEM
  ibrav = 0, nat = 4, ntyp = 3
/
ATOMIC_SPECIES
Ir 192.22 Ir.upf
Ni 58.69 Ni.upf
Pb 207.20 Pb.upf
CELL_PARAMETERS angstrom
-2.0598 0.9210 3.3014
3.0907 -0.8737 2.1721
3.1566 4.4584 0.7258
ATOMIC_POSITIONS angstrom
Ir 3.6819 1.5525 1.8642
Ni 3.1202 3.4672 3.4013
Pb 5.9147 3.2056 2.7961
Pb 0.8416 1.6576 2.4844
```

Summary:
Volume   20.0 Å³/atom

Energy above the most stable structure, in eV/atom: (1) 0.248; (2) 0.226; (3) 0.000

(1)
A geometry-optimized NiIrPb2 structure. Source: Alexandria via LeMat-Bulk, functional PBE-GGA. Values from VASP.

Structure (Quantum ESPRESSO input):
```
&SYSTEM
  ibrav = 0, nat = 4, ntyp = 3
/
ATOMIC_SPECIES
Ir 192.22 Ir.upf
Ni 58.69 Ni.upf
Pb 207.20 Pb.upf
CELL_PARAMETERS angstrom
3.2067 0.0000 0.0000
0.0000 3.2038 0.0000
0.0000 0.0000 8.3309
ATOMIC_POSITIONS angstrom
Ir 0.0000 0.0000 4.5925
Ni 1.6033 1.6019 5.9115
Pb 0.0000 0.0000 7.6257
Pb 1.6033 1.6019 2.6977
```

Summary:
Volume   21.4 Å³/atom

(2)
A geometry-optimized NiIrPb2 structure. Source: Alexandria via LeMat-Bulk, functional PBE-GGA. Values from VASP.

Structure (Quantum ESPRESSO input):
```
&SYSTEM
  ibrav = 0, nat = 4, ntyp = 3
/
ATOMIC_SPECIES
Ir 192.22 Ir.upf
Ni 58.69 Ni.upf
Pb 207.20 Pb.upf
CELL_PARAMETERS angstrom
-2.2172 -1.9551 4.7405
-2.5003 -4.9952 -0.0807
4.8403 2.2227 -1.6858
ATOMIC_POSITIONS angstrom
Ir -2.3588 -3.4752 2.3299
Ni 0.1321 -1.6038 2.6923
Pb 0.0000 0.0000 0.0000
Pb -0.0094 -3.1239 0.2817
```

Summary:
Volume   19.6 Å³/atom

Energy above the most stable structure, in eV/atom: (1) 0.000; (2) 0.248